[1]
Compound: Tb2YN3
Source: Alexandria via LeMat-Bulk
Functional: PBE-GGA
Structure: relaxed

Summary:
N(E_F) in states/eV/atom: 0.049
ΔE_f (raw) in eV per atom: -1.6723
Crystal system: orthorhombic
Calculated volume in Å³ per cell: 361.3
Symmetry: Pnma (62)

POSCAR file:
```
Tb2YN3
1.0
6.984 0.000 0.000
0.000 4.937 0.000
0.000 0.000 10.478
Tb Y N
8 4 12
direct
0.125 0.250 0.083
0.125 0.250 0.750
0.375 0.750 0.250
0.375 0.750 0.583
0.625 0.250 0.417
0.625 0.250 0.750
0.875 0.750 0.250
0.875 0.750 0.917
0.125 0.250 0.417
0.375 0.750 0.917
0.625 0.250 0.083
0.875 0.750 0.583
0.124 0.750 0.417
0.125 0.750 0.083
0.125 0.750 0.750
0.375 0.250 0.250
0.375 0.250 0.583
0.376 0.250 0.917
0.624 0.750 0.083
0.625 0.750 0.417
0.625 0.750 0.750
0.875 0.250 0.250
0.875 0.250 0.917
0.876 0.250 0.583
```

---

[2]
Compound: ErThMgTi
Source: Alexandria via LeMat-Bulk
Functional: PBE-GGA
Structure: relaxed

Summary:
N(E_F) in states/eV/atom: 1.292
Crystal system: cubic
Calculated volume in Å³ per cell: 103.1
Final energy in eV/atom: -5.22
Symmetry: F-43m (216)

POSCAR file:
```
ErThMgTi
1.0
0.000 3.722 3.722
3.722 0.000 3.722
3.722 3.722 0.000
Er Th Mg Ti
1 1 1 1
direct
0.000 0.000 0.000
0.500 0.500 0.500
0.750 0.750 0.750
0.250 0.250 0.250
```

---

[3]
Compound: Tl2HgBiSe4
Source: Alexandria via LeMat-Bulk
Functional: PBE-GGA
Structure: relaxed

Summary:
N(E_F) in states/eV/atom: 0.379
ΔE_f (raw) in eV per atom: -0.2946
Crystal system: monoclinic
Calculated volume in Å³ per cell: 226.1
Symmetry: P2/m (10)

POSCAR file:
```
Tl2HgBiSe4
1.0
7.421 0.000 0.000
0.000 4.253 0.000
-2.535 0.000 7.164
Tl Hg Bi Se
2 1 1 4
direct
0.000 0.000 0.000
0.500 0.500 0.000
0.000 0.500 0.500
0.500 0.000 0.500
0.239 0.000 0.723
0.258 0.500 0.269
0.742 0.500 0.731
0.761 0.000 0.277
```

---

[4]
Compound: LaBe2Si2
Source: Alexandria via LeMat-Bulk
Functional: PBE-GGA
Structure: relaxed

Summary:
N(E_F) in states/eV/atom: 0.385
ΔE_f (raw) in eV per atom: -0.3259
Crystal system: monoclinic
Calculated volume in Å³ per cell: 164.4
Symmetry: C2/c (15)

POSCAR file:
```
LaBe2Si2
1.0
2.882 -5.062 0.000
2.882 5.062 0.000
-2.865 0.000 5.635
La Be Si
2 4 4
direct
0.125 0.875 0.750
0.875 0.125 0.250
0.274 0.525 0.049
0.475 0.726 0.451
0.525 0.274 0.549
0.726 0.475 0.951
0.179 0.821 0.250
0.430 0.570 0.750
0.570 0.430 0.250
0.821 0.179 0.750
```

---

Question: Number 1 is which compound?
Answer: Tb2YN3